{
  "formula": "ErPIr2",
  "functional": "GGA-PBE",
  "state": "optimized geometry",
  "lattice": [[2.019, -7.812, 0.000], [2.019, 7.812, 0.000], [0.000, 0.000, 8.558]],
  "species": ["Er", "Er", "Er", "Er", "P", "P", "P", "P", "Ir", "Ir", "Ir", "Ir", "Ir", "Ir", "Ir", "Ir"],
  "fractional_positions": [[0.000, 0.000, 0.000], [0.000, 0.000, 0.500], [0.191, 0.809, 0.750], [0.809, 0.191, 0.250], [0.358, 0.642, 0.023], [0.358, 0.642, 0.477], [0.642, 0.358, 0.523], [0.642, 0.358, 0.977], [0.199, 0.801, 0.084], [0.199, 0.801, 0.416], [0.387, 0.613, 0.750], [0.443, 0.557, 0.250], [0.557, 0.443, 0.750], [0.613, 0.387, 0.250], [0.801, 0.199, 0.584], [0.801, 0.199, 0.916]],
  "total_magnetization_mub_per_atom": 0.000,
  "e_tot_ev_per_cell": -124.63,
  "space_group": "Cmcm, No. 63",
  "delta_e_f_ev_per_atom": -0.866
}